(1)
VASP calculation (GGA-PBE) on crystalline Hg2TeO5 at its relaxed geometry. Values from VASP.

The total energy comes out at -4.173 eV per atom. Its calculated volume is 13.60 Å³ per atom. Its symmetry is Pna2_1.

Structure (Quantum ESPRESSO input):
```
&SYSTEM
  ibrav = 0, nat = 32, ntyp = 3
/
ATOMIC_SPECIES
Hg 200.59 Hg.upf
O 16.00 O.upf
Te 127.60 Te.upf
CELL_PARAMETERS angstrom
-6.696 3.059 -0.367
-1.730 -3.235 4.601
2.980 7.274 6.235
ATOMIC_POSITIONS crystal
Hg 0.265 0.774 0.173
Hg 0.765 0.726 0.173
Hg 0.018 0.270 0.336
Hg 0.518 0.230 0.336
Hg 0.235 0.274 0.673
Hg 0.735 0.226 0.673
Hg 0.482 0.770 0.836
Hg 0.982 0.730 0.836
O 0.619 0.383 0.002
O 0.119 0.117 0.002
O 0.451 0.959 0.056
O 0.951 0.541 0.056
O 0.331 0.355 0.185
O 0.831 0.145 0.185
O 0.583 0.840 0.319
O 0.083 0.660 0.319
O 0.718 0.453 0.438
O 0.218 0.047 0.438
O 0.381 0.617 0.502
O 0.881 0.883 0.502
O 0.049 0.459 0.556
O 0.549 0.041 0.556
O 0.669 0.645 0.685
O 0.169 0.855 0.685
O 0.417 0.160 0.819
O 0.917 0.340 0.819
O 0.282 0.547 0.938
O 0.782 0.953 0.938
Te 0.867 0.240 0.002
Te 0.367 0.260 0.002
Te 0.633 0.740 0.502
Te 0.133 0.760 0.502
```

=====

(2)
VASP calculation (GGA-PBE) on crystalline Hg2TeO at its relaxed geometry. Values from VASP.

The total energy comes out at -2.259 eV per atom. Its polymorph energy (0 for the lowest one) is 10 meV/atom. Its calculated volume is 24.14 Å³ per atom. Its symmetry is Cmc2_1.

Structure (Quantum ESPRESSO input):
```
&SYSTEM
  ibrav = 0, nat = 8, ntyp = 3
/
ATOMIC_SPECIES
Hg 200.59 Hg.upf
O 16.00 O.upf
Te 127.60 Te.upf
CELL_PARAMETERS angstrom
2.020 -7.297 0.000
2.020 7.297 0.000
0.000 0.000 6.552
ATOMIC_POSITIONS crystal
Hg 0.543 0.457 0.371
Hg 0.828 0.172 0.461
Hg 0.457 0.543 0.871
Hg 0.172 0.828 0.961
O 0.587 0.413 0.040
O 0.413 0.587 0.540
Te 0.826 0.174 0.020
Te 0.174 0.826 0.520
```

=====

(3)
VASP calculation (GGA-PBE) on crystalline Hg2Te2O5 at its relaxed geometry. Values from VASP.

The total energy comes out at -4.039 eV per atom. Its polymorph energy (0 for the lowest one) is 0 meV/atom. Its calculated volume is 15.54 Å³ per atom. Its symmetry is P4/mmm.

Structure (Quantum ESPRESSO input):
```
&SYSTEM
  ibrav = 0, nat = 9, ntyp = 3
/
ATOMIC_SPECIES
Hg 200.59 Hg.upf
O 16.00 O.upf
Te 127.60 Te.upf
CELL_PARAMETERS angstrom
8.341 0.000 0.000
0.000 4.094 0.000
0.000 0.000 4.094
ATOMIC_POSITIONS crystal
Hg 0.000 0.000 0.000
Hg 0.500 0.000 0.000
O 0.313 0.500 0.000
O 0.687 0.500 0.000
O 0.313 0.000 0.500
O 0.687 0.000 0.500
O 0.500 0.500 0.500
Te 0.265 0.500 0.500
Te 0.735 0.500 0.500
```

=====

(4)
VASP calculation (GGA-PBE) on crystalline TlHgTeO at its relaxed geometry. Values from VASP.

The total energy comes out at -2.877 eV per atom. Its polymorph energy (0 for the lowest one) is 0 meV/atom. Its calculated volume is 29.48 Å³ per atom. Its symmetry is Pmc2_1.

Structure (Quantum ESPRESSO input):
```
&SYSTEM
  ibrav = 0, nat = 8, ntyp = 4
/
ATOMIC_SPECIES
Hg 200.59 Hg.upf
O 16.00 O.upf
Te 127.60 Te.upf
Tl 204.38 Tl.upf
CELL_PARAMETERS angstrom
-3.733 1.700 -1.581
-3.747 -0.586 8.215
1.943 5.454 1.275
ATOMIC_POSITIONS crystal
Hg 0.000 0.288 0.121
Hg 0.000 0.712 0.621
O 0.500 0.106 0.185
O 0.500 0.894 0.685
Te 0.000 0.682 0.127
Te 0.000 0.318 0.627
Tl 0.500 0.885 0.058
Tl 0.500 0.115 0.558
```

=====

(5)
VASP calculation (GGA-PBE) on crystalline TlHgTeO at its relaxed geometry. Values from VASP.

The total energy comes out at -2.836 eV per atom. Its polymorph energy (0 for the lowest one) is 41 meV/atom. Its calculated volume is 23.58 Å³ per atom. Its symmetry is P4/nmm.

Structure (Quantum ESPRESSO input):
```
&SYSTEM
  ibrav = 0, nat = 8, ntyp = 4
/
ATOMIC_SPECIES
Hg 200.59 Hg.upf
O 16.00 O.upf
Te 127.60 Te.upf
Tl 204.38 Tl.upf
CELL_PARAMETERS angstrom
-1.445 2.297 3.416
-2.336 -3.439 1.324
7.697 -3.157 5.379
ATOMIC_POSITIONS crystal
Hg 0.750 0.250 0.500
Hg 0.250 0.750 0.500
O 0.750 0.250 0.000
O 0.250 0.750 0.000
Te 0.750 0.750 0.298
Te 0.250 0.250 0.702
Tl 0.250 0.250 0.101
Tl 0.750 0.750 0.899
```

=====

(6)
VASP calculation (GGA-PBE) on crystalline YHgTeO at its relaxed geometry. Values from VASP.

The total energy comes out at -5.344 eV per atom. Its polymorph energy (0 for the lowest one) is 0 meV/atom. The size of the total moment comes out at 0.01 μB per formula unit. Its calculated volume is 22.52 Å³ per atom. Its symmetry is P4/nmm.

Structure (Quantum ESPRESSO input):
```
&SYSTEM
  ibrav = 0, nat = 8, ntyp = 4
/
ATOMIC_SPECIES
Hg 200.59 Hg.upf
O 16.00 O.upf
Te 127.60 Te.upf
Y 88.91 Y.upf
CELL_PARAMETERS angstrom
4.122 0.000 0.000
0.000 4.122 0.000
0.000 0.000 10.606
ATOMIC_POSITIONS crystal
Hg 0.750 0.250 0.500
Hg 0.250 0.750 0.500
O 0.750 0.250 0.000
O 0.250 0.750 0.000
Te 0.750 0.750 0.262
Te 0.250 0.250 0.738
Y 0.250 0.250 0.096
Y 0.750 0.750 0.904
```

=====

(7)
VASP calculation (GGA-PBE) on crystalline YHgTeO at its relaxed geometry. Values from VASP.

The total energy comes out at -5.205 eV per atom. Its polymorph energy (0 for the lowest one) is 139 meV/atom. The size of the total moment comes out at 0.00 μB per formula unit. Its calculated volume is 33.26 Å³ per atom. Its symmetry is Pmc2_1.

Structure (Quantum ESPRESSO input):
```
&SYSTEM
  ibrav = 0, nat = 8, ntyp = 4
/
ATOMIC_SPECIES
Hg 200.59 Hg.upf
O 16.00 O.upf
Te 127.60 Te.upf
Y 88.91 Y.upf
CELL_PARAMETERS angstrom
4.908 0.000 0.000
0.000 5.860 0.000
0.000 0.000 9.253
ATOMIC_POSITIONS crystal
Hg 0.000 0.639 0.303
Hg 0.000 0.139 0.697
O 0.500 0.684 0.073
O 0.500 0.184 0.927
Te 0.000 0.144 0.312
Te 0.000 0.644 0.688
Y 0.500 0.025 0.125
Y 0.500 0.525 0.875
```

=====

(8)
VASP calculation (GGA-PBE) on crystalline YHgTeO at its relaxed geometry. Values from VASP.

The total energy comes out at -5.290 eV per atom. Its polymorph energy (0 for the lowest one) is 54 meV/atom. The size of the total moment comes out at 0.00 μB per formula unit. Its calculated volume is 24.93 Å³ per atom. Its symmetry is P2_1/c.

Structure (Quantum ESPRESSO input):
```
&SYSTEM
  ibrav = 0, nat = 16, ntyp = 4
/
ATOMIC_SPECIES
Hg 200.59 Hg.upf
O 16.00 O.upf
Te 127.60 Te.upf
Y 88.91 Y.upf
CELL_PARAMETERS angstrom
7.773 0.000 -0.879
0.000 7.504 0.000
-1.565 0.000 7.015
ATOMIC_POSITIONS crystal
Hg 0.062 0.731 0.011
Hg 0.938 0.231 0.489
Hg 0.062 0.769 0.511
Hg 0.938 0.269 0.989
O 0.553 0.365 0.139
O 0.447 0.865 0.361
O 0.553 0.135 0.639
O 0.447 0.635 0.861
Te 0.794 0.940 0.152
Te 0.206 0.440 0.348
Te 0.794 0.560 0.652
Te 0.206 0.060 0.848
Y 0.495 0.648 0.174
Y 0.505 0.148 0.326
Y 0.495 0.852 0.674
Y 0.505 0.352 0.826
```

=====

(9)
VASP calculation (GGA-PBE) on crystalline Tl2Hg2O3 at its relaxed geometry. Values from VASP.

The total energy comes out at -2.947 eV per atom. Its polymorph energy (0 for the lowest one) is 232 meV/atom. Its calculated volume is 18.48 Å³ per atom. Its symmetry is R-3m.

Structure (Quantum ESPRESSO input):
```
&SYSTEM
  ibrav = 0, nat = 7, ntyp = 3
/
ATOMIC_SPECIES
Hg 200.59 Hg.upf
O 16.00 O.upf
Tl 204.38 Tl.upf
CELL_PARAMETERS angstrom
3.054 1.763 4.003
-3.054 1.763 4.003
0.000 -3.527 4.003
ATOMIC_POSITIONS crystal
Hg 0.280 0.280 0.280
Hg 0.720 0.720 0.720
O 0.500 0.000 0.000
O 0.000 0.500 0.000
O 0.000 0.000 0.500
Tl 0.000 0.000 0.000
Tl 0.500 0.500 0.500
```

=====

(10)
VASP calculation (GGA-PBE) on crystalline Tl2Hg2O3 at its relaxed geometry. Values from VASP.

The total energy comes out at -3.178 eV per atom. Its polymorph energy (0 for the lowest one) is 0 meV/atom. Its calculated volume is 22.44 Å³ per atom. Its symmetry is I2_13.

Structure (Quantum ESPRESSO input):
```
&SYSTEM
  ibrav = 0, nat = 14, ntyp = 3
/
ATOMIC_SPECIES
Hg 200.59 Hg.upf
O 16.00 O.upf
Tl 204.38 Tl.upf
CELL_PARAMETERS angstrom
-4.283 4.283 4.283
4.283 -4.283 4.283
4.283 4.283 -4.283
ATOMIC_POSITIONS crystal
Hg 0.091 0.500 0.000
Hg 0.500 0.000 0.091
Hg 0.409 0.409 0.409
Hg 0.000 0.091 0.500
O 0.750 0.879 0.129
O 0.621 0.371 0.250
O 0.250 0.621 0.371
O 0.371 0.250 0.621
O 0.879 0.129 0.750
O 0.129 0.750 0.879
Tl 0.498 0.500 0.000
Tl 0.002 0.002 0.002
Tl 0.500 0.000 0.498
Tl 0.000 0.498 0.500
```

=====

(11)
VASP calculation (GGA-PBE) on crystalline Tl2HgO4 at its relaxed geometry. Values from VASP.

The total energy comes out at -4.103 eV per atom. Its calculated volume is 15.89 Å³ per atom. Its symmetry is Fd-3m.

Structure (Quantum ESPRESSO input):
```
&SYSTEM
  ibrav = 0, nat = 14, ntyp = 3
/
ATOMIC_SPECIES
Hg 200.59 Hg.upf
O 16.00 O.upf
Tl 204.38 Tl.upf
CELL_PARAMETERS angstrom
-3.399 5.769 1.190
3.160 -0.919 -5.952
-5.582 -3.595 1.476
ATOMIC_POSITIONS crystal
Hg 0.000 0.000 0.000
Hg 0.750 0.500 0.250
O 0.613 0.226 0.387
O 0.161 0.774 0.387
O 0.613 0.774 0.387
O 0.137 0.274 0.411
O 0.613 0.226 0.839
O 0.137 0.726 0.863
O 0.137 0.274 0.863
O 0.589 0.726 0.863
Tl 0.375 0.750 0.125
Tl 0.875 0.250 0.625
Tl 0.375 0.250 0.625
Tl 0.375 0.750 0.625
```

=====

(12)
VASP calculation (GGA-PBE) on crystalline TlHgO at its relaxed geometry. Values from VASP.

The total energy comes out at -2.972 eV per atom. Its calculated volume is 24.92 Å³ per atom. Its symmetry is P-1.

Structure (Quantum ESPRESSO input):
```
&SYSTEM
  ibrav = 0, nat = 6, ntyp = 3
/
ATOMIC_SPECIES
Hg 200.59 Hg.upf
O 16.00 O.upf
Tl 204.38 Tl.upf
CELL_PARAMETERS angstrom
-0.730 -3.557 0.558
0.032 -0.861 -5.321
7.046 -3.269 0.191
ATOMIC_POSITIONS crystal
Hg 0.431 0.839 0.134
Hg 0.569 0.161 0.866
O 0.330 0.562 0.334
O 0.670 0.438 0.666
Tl 0.814 0.264 0.371
Tl 0.186 0.736 0.629
```